1.
Below is crystalline CoIr3I at its relaxed geometry, with properties calculated at the PBE level.

uncorrected formation energy	1.59	eV per atom
total magnetization	0.855	μB per atom
DFT total energy	-27.3	eV/f.u.
excess energy over the best structure of this formula in the dataset	0	meV/atom

The structure in POSCAR format:
```
CoIr3I
1.0
4.570 0.000 0.000
0.000 4.570 0.000
0.000 0.000 4.570
Co Ir I
1 3 1
Direct
0.000 0.000 0.000
0.000 0.000 0.500
0.000 0.500 0.000
0.500 0.000 0.000
0.500 0.500 0.500
```

---

2.
Below is crystalline CoIrI2 at its relaxed geometry, with properties calculated at the PBE level.

uncorrected formation energy	0.72	eV per atom
total magnetization	0.422	μB per atom
DFT total energy	-16.2	eV/f.u.
excess energy over the best structure of this formula in the dataset	0	meV/atom

The structure in POSCAR format:
```
CoIrI2
1.0
-2.957 2.957 5.878
2.957 -2.957 5.878
2.957 2.957 -5.878
Co Ir I
2 2 4
Direct
0.000 0.000 0.000
0.750 0.250 0.500
0.250 0.750 0.500
0.500 0.500 0.000
0.112 0.625 0.987
0.375 0.362 0.487
0.638 0.125 0.013
0.875 0.888 0.513
```

---

3.
Below is crystalline CoIrI3 at its relaxed geometry, with properties calculated at the PBE level.

uncorrected formation energy	1.03	eV per atom
total magnetization	0.523	μB per atom
DFT total energy	-15.5	eV/f.u.
excess energy over the best structure of this formula in the dataset	0	meV/atom

The structure in POSCAR format:
```
CoIrI3
1.0
5.404 0.000 0.000
0.000 5.404 0.000
0.000 0.000 5.404
Co Ir I
1 1 3
Direct
0.000 0.000 0.000
0.500 0.500 0.500
0.000 0.500 0.500
0.500 0.000 0.500
0.500 0.500 0.000
```

---

4.
Below is crystalline CoIr2I at its relaxed geometry, with properties calculated at the PBE level.

uncorrected formation energy	1.07	eV per atom
total magnetization	0.618	μB per atom
DFT total energy	-22.1	eV/f.u.
excess energy over the best structure of this formula in the dataset	184	meV/atom

The structure in POSCAR format:
```
CoIr2I
1.0
0.000 3.184 3.184
3.184 0.000 3.184
3.184 3.184 0.000
Co Ir I
1 2 1
Direct
0.000 0.000 0.000
0.250 0.250 0.250
0.750 0.750 0.750
0.500 0.500 0.500
```

---

5.
Below is crystalline CoIrI2 at its relaxed geometry, with properties calculated at the PBE level.

uncorrected formation energy	1.17	eV per atom
total magnetization	0.095	μB per atom
DFT total energy	-14.4	eV/f.u.
excess energy over the best structure of this formula in the dataset	451	meV/atom

The structure in POSCAR format:
```
CoIrI2
1.0
0.000 3.403 3.403
3.403 0.000 3.403
3.403 3.403 0.000
Co Ir I
1 1 2
Direct
0.000 0.000 0.000
0.500 0.500 0.500
0.250 0.250 0.250
0.750 0.750 0.750
```

---

6.
Below is crystalline Co3IrI at its relaxed geometry, with properties calculated at the PBE level.

uncorrected formation energy	1.26	eV per atom
total magnetization	1.414	μB per atom
DFT total energy	-25.4	eV/f.u.
excess energy over the best structure of this formula in the dataset	0	meV/atom

The structure in POSCAR format:
```
Co3IrI
1.0
4.702 0.000 0.000
0.000 4.702 0.000
0.000 0.000 4.702
Co Ir I
3 1 1
Direct
0.000 0.000 0.500
0.000 0.500 0.000
0.500 0.000 0.000
0.000 0.000 0.000
0.500 0.500 0.500
```

---

7.
Below is crystalline La6CoIr2I3 at its relaxed geometry, with properties calculated at the PBE level.

uncorrected formation energy	-0.96	eV per atom
total magnetization	0.000	μB per atom
DFT total energy	-70.6	eV/f.u.

The structure in POSCAR format:
```
La6CoIr2I3
1.0
3.654 -6.328 0.000
3.654 6.328 0.000
-2.434 0.000 8.248
La Co Ir I
6 1 2 3
Direct
0.061 0.388 0.183
0.265 0.265 0.816
0.388 0.061 0.183
0.612 0.939 0.817
0.735 0.735 0.184
0.939 0.612 0.817
0.000 0.000 0.000
0.333 0.667 0.000
0.667 0.333 0.000
0.167 0.833 0.500
0.500 0.500 0.500
0.833 0.167 0.500
```

---

8.
Below is crystalline La8CoIr3I4 at its relaxed geometry, with properties calculated at the PBE level.

uncorrected formation energy	-1.00	eV per atom
total magnetization	0.000	μB per atom
DFT total energy	-95.3	eV/f.u.

The structure in POSCAR format:
```
La8CoIr3I4
1.0
7.330 -4.229 0.000
7.330 4.229 0.000
-4.883 0.000 8.247
La Co Ir I
8 1 3 4
Direct
0.225 0.225 0.683
0.225 0.734 0.683
0.266 0.775 0.317
0.272 0.272 0.315
0.728 0.728 0.685
0.734 0.225 0.683
0.775 0.266 0.317
0.775 0.775 0.317
0.000 0.000 0.500
0.000 0.500 0.500
0.500 0.000 0.500
0.500 0.500 0.500
0.000 0.000 0.000
0.000 0.500 0.000
0.500 0.000 0.000
0.500 0.500 0.000
```

---

9.
Below is crystalline La4CoIrI2 at its relaxed geometry, with properties calculated at the PBE level.

uncorrected formation energy	-0.89	eV per atom
total magnetization	0.000	μB per atom
DFT total energy	-45.9	eV/f.u.

The structure in POSCAR format:
```
La4CoIrI2
1.0
7.273 0.000 0.000
0.000 4.192 0.000
-2.412 0.000 8.246
La Co Ir I
4 1 1 2
Direct
0.221 0.000 0.182
0.267 0.500 0.815
0.733 0.500 0.185
0.779 0.000 0.818
0.000 0.500 0.000
0.500 0.000 0.000
0.000 0.000 0.500
0.500 0.500 0.500
```

---

10.
Below is crystalline La8CoIr3I3 at its relaxed geometry, with properties calculated at the PBE level.

uncorrected formation energy	-0.87	eV per atom
total magnetization	0.015	μB per atom
DFT total energy	-90.9	eV/f.u.

The structure in POSCAR format:
```
La8CoIr3I3
1.0
7.318 -4.222 0.000
7.318 4.222 0.000
-4.865 0.000 8.296
La Co Ir I
8 1 3 3
Direct
0.223 0.223 0.680
0.223 0.735 0.680
0.265 0.777 0.320
0.271 0.271 0.315
0.729 0.729 0.685
0.735 0.223 0.680
0.777 0.265 0.320
0.777 0.777 0.320
0.000 0.000 0.500
0.000 0.500 0.500
0.500 0.000 0.500
0.500 0.500 0.500
0.000 0.000 0.000
0.000 0.500 0.000
0.500 0.000 0.000
```

---

11.
Below is crystalline CoIrIN2 at its relaxed geometry, with properties calculated at the PBE level.

uncorrected formation energy	1.53	eV per atom
total magnetization	0.045	μB per atom
DFT total energy	-26.5	eV/f.u.
excess energy over the best structure of this formula in the dataset	480	meV/atom

The structure in POSCAR format:
```
CoIrIN2
1.0
3.603 0.000 0.000
0.000 3.603 0.000
0.000 0.000 7.684
Co Ir I N
1 1 1 2
Direct
0.000 0.000 0.000
0.500 0.500 0.500
0.000 0.000 0.500
0.000 0.500 0.000
0.500 0.000 0.000
```

---

12.
Below is crystalline CoIrIN2 at its relaxed geometry, with properties calculated at the PBE level.

uncorrected formation energy	1.05	eV per atom
total magnetization	0.446	μB per atom
DFT total energy	-28.9	eV/f.u.
excess energy over the best structure of this formula in the dataset	0	meV/atom

The structure in POSCAR format:
```
CoIrIN2
1.0
3.737 0.000 0.000
0.000 3.737 0.000
0.000 0.000 8.572
Co Ir I N
1 1 1 2
Direct
0.000 0.000 0.000
0.500 0.500 0.500
0.500 0.500 0.000
0.000 0.500 0.500
0.500 0.000 0.500
```

---

The calculation returns the following N(E_F) values, one per record and in order: 7.1; 4.4; 17.6; 9.6; 2.5; 5.3; 4.4; 5.0; 2.6; 8.2; 4.2; 5.8 states/eV/f.u..